Entry 1:
Here is a relaxed ZrIr crystal from OQMD. Energies are from PBE.

Unit cell a=5.5254 b=5.3638 c=5.2312 alpha=90.00 beta=90.00 gamma=90.00
With the nearest neighbours (Å) after each atom.
Sites, in units of the cell vectors:
1 Zr 0.1842 0.0514 0.2500  6 Ir 2.70-2.83
2 Zr 0.1842 0.4486 0.7500  6 Ir 2.70-2.83
3 Zr 0.8158 0.5514 0.2500  6 Ir 2.70-2.83
4 Zr 0.8158 0.9486 0.7500  6 Ir 2.70-2.83
5 Ir 0.3045 0.5505 0.2500  6 Zr 2.70-2.83
6 Ir 0.3045 0.9495 0.7500  6 Zr 2.70-2.83
7 Ir 0.6955 0.0505 0.2500  6 Zr 2.70-2.83
8 Ir 0.6955 0.4495 0.7500  6 Zr 2.70-2.83

Theoretical density: 12.14 g/cm3
Formation energy: -0.6236 eV per atom
Magnetization: 0.00 μB/f.u.
VASP energy: -9.32 eV per atom


Entry 2:
Here is a relaxed ZrIr crystal from OQMD. Energies are from PBE.

Unit cell a=5.8177 b=5.8177 c=4.8443 alpha=90.00 beta=90.00 gamma=120.00
With the nearest neighbours (Å) after each atom.
Sites, in units of the cell vectors:
1 Zr 0.0000 0.0000 0.0000  6 Ir 2.91, 6 Zr 2.97
2 Zr 0.1712 0.3424 0.5000  6 Zr 2.83-2.99, 6 Ir 2.91-2.96
3 Zr 0.1712 0.8288 0.5000  6 Zr 2.83-2.99, 6 Ir 2.91-2.96
4 Zr 0.6576 0.8288 0.5000  6 Zr 2.83-2.99, 6 Ir 2.91-2.96
5 Ir 0.5074 0.0148 0.0000  6 Ir 2.78-3.04, 6 Zr 2.91-2.96
6 Ir 0.5074 0.4926 0.0000  6 Ir 2.78-3.04, 6 Zr 2.91-2.96
7 Ir 0.6667 0.3333 0.5000  6 Ir 2.91, 6 Zr 2.91
8 Ir 0.9852 0.4926 0.0000  6 Ir 2.78-3.04, 6 Zr 2.91-2.96

Theoretical density: 13.26 g/cm3
Formation energy: -0.2922 eV per atom
Magnetization: 0.01 μB/f.u.
VASP energy: -8.99 eV per atom


Entry 3:
Here is a relaxed ZrIr crystal from OQMD. Energies are from PBE.

Unit cell a=3.7158 b=3.7158 c=6.7484 alpha=90.00 beta=90.00 gamma=120.00
With the nearest neighbours (Å) after each atom.
Sites, in units of the cell vectors:
1 Zr 0.0000 0.0000 0.0000  6 Ir 2.73
2 Zr 0.0000 0.0000 0.5000  6 Ir 2.73
3 Ir 0.3333 0.6667 0.2500  6 Zr 2.73
4 Ir 0.6667 0.3333 0.7500  6 Zr 2.73

Theoretical density: 11.67 g/cm3
Formation energy: -0.4980 eV per atom
Magnetization: 0.00 μB/f.u.
VASP energy: -9.20 eV per atom


Entry 4:
Here is a relaxed KLaLu crystal from OQMD. Energies are from PBE.

Unit cell a=5.9040 b=5.9040 c=5.9040 alpha=60.00 beta=60.00 gamma=60.00
With the nearest neighbours (Å) after each atom.
Sites, in units of the cell vectors:
1 K 0.0000 0.0000 0.0000  4 La 3.62
2 La 0.2500 0.2500 0.2500  4 K 3.62, 4 Lu 3.62
3 Lu 0.5000 0.5000 0.5000  4 La 3.62

Theoretical density: 4.03 g/cm3
Magnetization: 1.91 μB/f.u.
VASP energy: -2.36 eV per atom


Entry 5:
Here is a relaxed KNaLaOsO5 crystal from OQMD. Energies are from PBE.

Unit cell a=5.7936 b=5.7936 c=8.0547 alpha=90.00 beta=90.00 gamma=90.00
With the nearest neighbours (Å) after each atom.
Sites, in units of the cell vectors:
1 K 0.2500 0.7500 0.0000  4 O 2.91
2 K 0.7500 0.2500 0.0000  4 O 2.91
3 Na 0.2500 0.2500 0.2335  5 O 2.18-2.28
4 Na 0.7500 0.7500 0.7665  5 O 2.18-2.28
5 La 0.2500 0.7500 0.5000  8 O 2.52
6 La 0.7500 0.2500 0.5000  8 O 2.52
7 Os 0.2500 0.2500 0.7318  5 O 1.86-1.97
8 Os 0.7500 0.7500 0.2682  5 O 1.86-1.97
9 O 0.0152 0.0152 0.6820  1 Os 1.97
10 O 0.0152 0.4848 0.6820  1 Os 1.97
11 O 0.2500 0.2500 0.9627  1 Os 1.86
12 O 0.4848 0.0152 0.6820  1 Os 1.97
13 O 0.4848 0.4848 0.6820  1 Os 1.97
14 O 0.5152 0.5152 0.3180  1 Os 1.97
15 O 0.5152 0.9848 0.3180  1 Os 1.97
16 O 0.7500 0.7500 0.0373  1 Os 1.86
17 O 0.9848 0.5152 0.3180  1 Os 1.97
18 O 0.9848 0.9848 0.3180  1 Os 1.97

Theoretical density: 5.79 g/cm3
Magnetization: 3.00 μB/f.u.
VASP energy: -6.69 eV per atom


Entry 6:
Here is a relaxed KLaNd crystal from OQMD. Energies are from PBE.

Unit cell a=5.8122 b=5.8122 c=5.8122 alpha=60.00 beta=60.00 gamma=60.00
With the nearest neighbours (Å) after each atom.
Sites, in units of the cell vectors:
1 K 0.0000 0.0000 0.0000  4 La 3.56, 4 Nd 3.56
2 La 0.7500 0.7500 0.7500  4 K 3.56
3 Nd 0.2500 0.2500 0.2500  4 K 3.56

Theoretical density: 3.85 g/cm3
Magnetization: 1.89 μB/f.u.
VASP energy: -2.48 eV per atom